1.
Density functional theory data (PBE) for CrGaFeC2 after structural relaxation.

Values from the calculation:
Calculated total energy ... -6.493 eV/atom

The structure in CIF format:
```
data_CrGaFeC2
_symmetry_space_group_name_H-M 'P 4/m m m'
_symmetry_Int_Tables_number 123
_symmetry_space_group_name_Hall '-P 4 2'
_cell_length_a 3.608
_cell_length_b 3.608
_cell_length_c 4.792
_cell_angle_alpha 90.00
_cell_angle_beta 90.00
_cell_angle_gamma 90.00
loop_
_atom_site_label
_atom_site_fract_x
_atom_site_fract_y
_atom_site_fract_z
_atom_site_occupancy
Cr1 0.000 0.000 0.000 1
Ga1 0.500 0.500 0.000 1
Fe1 0.000 0.000 0.500 1
C1 0.000 0.500 0.500 1
```

2.
Density functional theory data (PBE) for LiAs2W after structural relaxation.

Values from the calculation:
ΔE to the lowest computed polymorph ... 159.9 kJ/mol of formula units
Calculated total energy ... -5.817 eV/atom

The structure in CIF format:
```
data_LiAs2W
_symmetry_space_group_name_H-M 'C m m 2'
_symmetry_Int_Tables_number 35
_cell_length_a 3.330
_cell_length_b 4.373
_cell_length_c 10.153
_cell_angle_alpha 90.00
_cell_angle_beta 90.00
_cell_angle_gamma 90.00
loop_
_symmetry_equiv_pos_as_xyz
'x,y,z'
'-x,-y,z'
'-x,y,z'
'x,-y,z'
'x+1/2,y+1/2,z'
'-x+1/2,-y+1/2,z'
'-x+1/2,y+1/2,z'
'x+1/2,-y+1/2,z'
loop_
_atom_site_label
_atom_site_fract_x
_atom_site_fract_y
_atom_site_fract_z
_atom_site_occupancy
Li1 0.000 0.000 0.000 1
As1 0.000 0.000 0.432 1
As2 0.000 0.500 0.793 1
W1 0.000 0.500 0.231 1
```

3.
Density functional theory data (PBE) for NdPaSi after structural relaxation.

Values from the calculation:
ΔE to the lowest computed polymorph ... 28.6 kJ/mol of formula units
Calculated total energy ... -6.455 eV/atom
ΔE_f (raw) ... 0.1078 eV/atom

The structure in CIF format:
```
data_NdPaSi
_symmetry_space_group_name_H-M 'P 3 m 1'
_symmetry_Int_Tables_number 156
_cell_length_a 4.5869
_cell_length_b 4.5869
_cell_length_c 4.1609
_cell_angle_alpha 90.00
_cell_angle_beta 90.00
_cell_angle_gamma 120.00
loop_
_symmetry_equiv_pos_as_xyz
'x,y,z'
'-y,x-y,z'
'-x+y,-x,z'
'-y,-x,z'
'-x+y,y,z'
'x,x-y,z'
loop_
_atom_site_label
_atom_site_fract_x
_atom_site_fract_y
_atom_site_fract_z
_atom_site_occupancy
Nd1 0.0000 0.0000 0.0000 1
Pa1 0.3333 0.6667 0.5566 1
Si1 0.6667 0.3333 0.2996 1
```

4.
Density functional theory data (PBE) for Pr3Tm5In2 after structural relaxation.

Values from the calculation:
Calculated total energy ... -4.179 eV/atom

The structure in CIF format:
```
data_Pr3Tm5In2
_symmetry_space_group_name_H-M 'I b a m'
_symmetry_Int_Tables_number 72
_symmetry_space_group_name_Hall '-I 2 2c'
_cell_length_a 12.861
_cell_length_b 15.615
_cell_length_c 6.403
_cell_angle_alpha 90.00
_cell_angle_beta 90.00
_cell_angle_gamma 90.00
loop_
_atom_site_label
_atom_site_fract_x
_atom_site_fract_y
_atom_site_fract_z
_atom_site_occupancy
Pr1 0.000 0.000 0.250 1
Pr2 0.118 0.239 0.000 1
Tm1 0.000 0.500 0.250 1
Tm2 0.122 0.338 0.500 1
Tm3 0.245 0.500 0.250 1
In1 0.141 0.148 0.500 1
```

5.
Density functional theory data (PBE) for KRuRh2 after structural relaxation.

Values from the calculation:
ΔE to the lowest computed polymorph ... 68.7 kJ/mol of formula units
Calculated total energy ... -5.657 eV/atom

The structure in CIF format:
```
data_KRuRh2
_symmetry_space_group_name_H-M 'P m m 2'
_symmetry_Int_Tables_number 25
_cell_length_a 2.705
_cell_length_b 3.885
_cell_length_c 7.578
_cell_angle_alpha 90.00
_cell_angle_beta 90.00
_cell_angle_gamma 90.00
loop_
_symmetry_equiv_pos_as_xyz
'x,y,z'
'-x,-y,z'
'-x,y,z'
'x,-y,z'
loop_
_atom_site_label
_atom_site_fract_x
_atom_site_fract_y
_atom_site_fract_z
_atom_site_occupancy
K1 0.000 0.000 0.000 1
Ru1 0.500 0.500 0.653 1
Rh1 0.000 0.000 0.508 1
Rh2 0.500 0.500 0.321 1
```

6.
Density functional theory data (PBE) for Na4Ac3ScTe8 after structural relaxation.

Values from the calculation:
Calculated total energy ... -4.381 eV/atom
ΔE_f (raw) ... -1.3144 eV/atom

The structure in CIF format:
```
data_Na4Ac3ScTe8
_symmetry_space_group_name_H-M 'R -3 m'
_symmetry_Int_Tables_number 166
_symmetry_space_group_name_Hall '-R 3 2"'
_cell_length_a 9.3121
_cell_length_b 9.3121
_cell_length_c 22.6853
_cell_angle_alpha 90.00
_cell_angle_beta 90.00
_cell_angle_gamma 120.00
loop_
_atom_site_label
_atom_site_fract_x
_atom_site_fract_y
_atom_site_fract_z
_atom_site_occupancy
Na1 0.0000 0.0000 0.0000 1
Na2 0.0000 0.5000 0.0000 1
Ac1 0.0000 0.5000 0.5000 1
Sc1 0.0000 0.0000 0.5000 1
Te1 0.0000 0.0000 0.2514 1
Te2 0.0266 0.5133 0.2454 1
```

7.
Density functional theory data (PBE) for Nd3Se after structural relaxation.

Values from the calculation:
ΔE to the lowest computed polymorph ... 41.0 kJ/mol of formula units
Calculated total energy ... -5.074 eV/atom
ΔE_f (raw) ... -0.6273 eV/atom

The structure in CIF format:
```
data_Nd3Se
_symmetry_space_group_name_H-M 'P m m 2'
_symmetry_Int_Tables_number 25
_cell_length_a 3.781
_cell_length_b 3.788
_cell_length_c 9.436
_cell_angle_alpha 90.00
_cell_angle_beta 90.00
_cell_angle_gamma 90.00
loop_
_symmetry_equiv_pos_as_xyz
'x,y,z'
'-x,-y,z'
'-x,y,z'
'x,-y,z'
loop_
_atom_site_label
_atom_site_fract_x
_atom_site_fract_y
_atom_site_fract_z
_atom_site_occupancy
Nd1 0.000 0.000 0.000 1
Nd2 0.000 0.500 0.340 1
Nd3 0.500 0.500 0.727 1
Se1 0.500 0.000 0.476 1
```

8.
Density functional theory data (PBE) for NaLi3Mg2 after structural relaxation.

Values from the calculation:
Calculated total energy ... -1.721 eV/atom

The structure in CIF format:
```
data_NaLi3Mg2
_symmetry_space_group_name_H-M 'P 4/m m m'
_symmetry_Int_Tables_number 123
_symmetry_space_group_name_Hall '-P 4 2'
_cell_length_a 3.319
_cell_length_b 3.319
_cell_length_c 12.469
_cell_angle_alpha 90.00
_cell_angle_beta 90.00
_cell_angle_gamma 90.00
loop_
_atom_site_label
_atom_site_fract_x
_atom_site_fract_y
_atom_site_fract_z
_atom_site_occupancy
Na1 0.000 0.000 0.000 1
Li1 0.500 0.500 0.198 1
Li2 0.500 0.500 0.500 1
Mg1 0.000 0.000 0.353 1
```

9.
Density functional theory data (PBE) for Ca3Ga2Pd3 after structural relaxation.

Values from the calculation:
ΔE to the lowest computed polymorph ... 0.0 kJ/mol of formula units
Calculated total energy ... -4.205 eV/atom

The structure in CIF format:
```
data_Ca3Ga2Pd3
_symmetry_space_group_name_H-M 'P n m a'
_symmetry_Int_Tables_number 62
_cell_length_a 8.004
_cell_length_b 15.056
_cell_length_c 5.855
_cell_angle_alpha 90.00
_cell_angle_beta 90.00
_cell_angle_gamma 90.00
loop_
_symmetry_equiv_pos_as_xyz
'x,y,z'
'-x,-y,-z'
'-x+1/2,-y,z+1/2'
'x+1/2,y,-z+1/2'
'x+1/2,-y+1/2,-z+1/2'
'-x+1/2,y+1/2,z+1/2'
'-x,y+1/2,-z'
'x,-y+1/2,z'
loop_
_atom_site_label
_atom_site_fract_x
_atom_site_fract_y
_atom_site_fract_z
_atom_site_occupancy
Ca1 0.032 0.105 0.136 1
Ca2 0.172 0.250 0.603 1
Ga1 0.123 0.603 0.370 1
Pd1 0.168 0.039 0.601 1
Pd2 0.179 0.750 0.588 1
```

10.
Density functional theory data (PBE) for HOsCl2 after structural relaxation.

Values from the calculation:
ΔE to the lowest computed polymorph ... 190.2 kJ/mol of formula units
Calculated total energy ... -3.415 eV/atom

The structure in CIF format:
```
data_HOsCl2
_symmetry_space_group_name_H-M 'F m -3 m'
_symmetry_Int_Tables_number 225
_symmetry_space_group_name_Hall '-F 4 2 3'
_cell_length_a 5.966
_cell_length_b 5.966
_cell_length_c 5.966
_cell_angle_alpha 90.00
_cell_angle_beta 90.00
_cell_angle_gamma 90.00
loop_
_atom_site_label
_atom_site_fract_x
_atom_site_fract_y
_atom_site_fract_z
_atom_site_occupancy
H1 0.000 0.000 0.000 1
Os1 0.000 0.000 0.500 1
Cl1 0.250 0.250 0.250 1
```

11.
Density functional theory data (PBE) for CuPd2Au after structural relaxation.

Values from the calculation:
ΔE to the lowest computed polymorph ... 8.6 kJ/mol of formula units
Calculated total energy ... -4.508 eV/atom

The structure in CIF format:
```
data_CuPd2Au
_symmetry_space_group_name_H-M 'P 4/m m m'
_symmetry_Int_Tables_number 123
_symmetry_space_group_name_Hall '-P 4 2'
_cell_length_a 3.948
_cell_length_b 3.948
_cell_length_c 3.944
_cell_angle_alpha 90.00
_cell_angle_beta 90.00
_cell_angle_gamma 90.00
loop_
_atom_site_label
_atom_site_fract_x
_atom_site_fract_y
_atom_site_fract_z
_atom_site_occupancy
Cu1 0.000 0.000 0.000 1
Pd1 0.000 0.500 0.500 1
Au1 0.500 0.500 0.000 1
```

12.
Density functional theory data (PBE) for ZrPaI after structural relaxation.

Values from the calculation:
Calculated total energy ... -6.490 eV/atom
ΔE_f (raw) ... 0.0411 eV/atom

The structure in CIF format:
```
data_ZrPaI
_symmetry_space_group_name_H-M 'C 1 2/m 1'
_symmetry_Int_Tables_number 12
_cell_length_a 10.194
_cell_length_b 4.297
_cell_length_c 9.128
_cell_angle_alpha 90.00
_cell_angle_beta 102.96
_cell_angle_gamma 90.00
loop_
_symmetry_equiv_pos_as_xyz
'x,y,z'
'-x,-y,-z'
'-x,y,-z'
'x,-y,z'
'x+1/2,y+1/2,z'
'-x+1/2,-y+1/2,-z'
'-x+1/2,y+1/2,-z'
'x+1/2,-y+1/2,z'
loop_
_atom_site_label
_atom_site_fract_x
_atom_site_fract_y
_atom_site_fract_z
_atom_site_occupancy
Zr1 0.004 0.000 0.166 1
Pa1 0.170 0.500 0.026 1
I1 0.179 0.500 0.672 1
```

13.
Density functional theory data (PBE) for BaSrMg2F8 after structural relaxation.

Values from the calculation:
Calculated total energy ... -5.490 eV/atom
ΔE_f (raw) ... -3.6762 eV/atom

The structure in CIF format:
```
data_BaSrMg2F8
_symmetry_space_group_name_H-M 'I -4'
_symmetry_Int_Tables_number 82
_cell_length_a 5.612
_cell_length_b 5.612
_cell_length_c 12.127
_cell_angle_alpha 90.00
_cell_angle_beta 90.00
_cell_angle_gamma 90.00
loop_
_symmetry_equiv_pos_as_xyz
'x,y,z'
'y,-x,-z'
'-x,-y,z'
'-y,x,-z'
'x+1/2,y+1/2,z+1/2'
'y+1/2,-x+1/2,-z+1/2'
'-x+1/2,-y+1/2,z+1/2'
'-y+1/2,x+1/2,-z+1/2'
loop_
_atom_site_label
_atom_site_fract_x
_atom_site_fract_y
_atom_site_fract_z
_atom_site_occupancy
Ba1 0.000 0.000 0.000 1
Sr1 0.000 0.500 0.750 1
Mg1 0.000 0.000 0.500 1
Mg2 0.000 0.500 0.250 1
F1 0.143 0.249 0.585 1
F2 0.165 0.746 0.172 1
```

14.
Density functional theory data (PBE) for ErZrBeRh after structural relaxation.

Values from the calculation:
Calculated total energy ... -6.370 eV/atom

The structure in CIF format:
```
data_ErZrBeRh
_symmetry_space_group_name_H-M 'F -4 3 m'
_symmetry_Int_Tables_number 216
_symmetry_space_group_name_Hall 'F -4 2 3'
_cell_length_a 6.659
_cell_length_b 6.659
_cell_length_c 6.659
_cell_angle_alpha 90.00
_cell_angle_beta 90.00
_cell_angle_gamma 90.00
loop_
_atom_site_label
_atom_site_fract_x
_atom_site_fract_y
_atom_site_fract_z
_atom_site_occupancy
Er1 0.000 0.000 0.000 1
Zr1 0.000 0.000 0.500 1
Be1 0.250 0.250 0.250 1
Rh1 0.250 0.250 0.750 1
```

15.
Density functional theory data (PBE) for EuTeRh after structural relaxation.

Values from the calculation:
Calculated total energy ... -7.846 eV/atom
ΔE_f (raw) ... -0.9232 eV/atom

The structure in CIF format:
```
data_EuTeRh
_symmetry_space_group_name_H-M 'P -6 m 2'
_symmetry_Int_Tables_number 187
_symmetry_space_group_name_Hall 'P -6 2'
_cell_length_a 4.5005
_cell_length_b 4.5005
_cell_length_c 4.2551
_cell_angle_alpha 90.00
_cell_angle_beta 90.00
_cell_angle_gamma 120.00
loop_
_atom_site_label
_atom_site_fract_x
_atom_site_fract_y
_atom_site_fract_z
_atom_site_occupancy
Eu1 0.0000 0.0000 0.0000 1
Te1 0.6667 0.3333 0.5000 1
Rh1 0.3333 0.6667 0.5000 1
```

16.
Density functional theory data (PBE) for PmNdLuRu after structural relaxation.

Values from the calculation:
Calculated total energy ... -5.673 eV/atom

The structure in CIF format:
```
data_PmNdLuRu
_symmetry_space_group_name_H-M 'F -4 3 m'
_symmetry_Int_Tables_number 216
_symmetry_space_group_name_Hall 'F -4 2 3'
_cell_length_a 7.418
_cell_length_b 7.418
_cell_length_c 7.418
_cell_angle_alpha 90.00
_cell_angle_beta 90.00
_cell_angle_gamma 90.00
loop_
_atom_site_label
_atom_site_fract_x
_atom_site_fract_y
_atom_site_fract_z
_atom_site_occupancy
Pm1 0.000 0.000 0.000 1
Nd1 0.000 0.000 0.500 1
Lu1 0.250 0.250 0.750 1
Ru1 0.250 0.250 0.250 1
```

17.
Density functional theory data (PBE) for LaTb2ErTe6 after structural relaxation.

Values from the calculation:
Calculated total energy ... -5.155 eV/atom
ΔE_f (raw) ... -1.3951 eV/atom

The structure in CIF format:
```
data_LaTb2ErTe6
_symmetry_space_group_name_H-M 'R 3'
_symmetry_Int_Tables_number 146
_symmetry_space_group_name_Hall 'R 3'
_cell_length_a 7.8200
_cell_length_b 7.8200
_cell_length_c 21.1830
_cell_angle_alpha 90.00
_cell_angle_beta 90.00
_cell_angle_gamma 120.00
loop_
_atom_site_label
_atom_site_fract_x
_atom_site_fract_y
_atom_site_fract_z
_atom_site_occupancy
La1 0.0000 0.0000 0.0000 1
Tb1 0.0000 0.0000 0.3058 1
Tb2 0.0000 0.0000 0.8092 1
Er1 0.0000 0.0000 0.4949 1
Te1 0.0173 0.3496 0.5663 1
Te2 0.0197 0.7074 0.4014 1
```

18.
Density functional theory data (PBE) for Cd3Ag after structural relaxation.

Values from the calculation:
Calculated total energy ... -1.364 eV/atom

The structure in CIF format:
```
data_Cd3Ag
_symmetry_space_group_name_H-M 'F m -3 m'
_symmetry_Int_Tables_number 225
_symmetry_space_group_name_Hall '-F 4 2 3'
_cell_length_a 6.889
_cell_length_b 6.889
_cell_length_c 6.889
_cell_angle_alpha 90.00
_cell_angle_beta 90.00
_cell_angle_gamma 90.00
loop_
_atom_site_label
_atom_site_fract_x
_atom_site_fract_y
_atom_site_fract_z
_atom_site_occupancy
Cd1 0.000 0.000 0.000 1
Cd2 0.250 0.250 0.250 1
Ag1 0.000 0.000 0.500 1
```

19.
Density functional theory data (PBE) for BaGeTe2 after structural relaxation.

Values from the calculation:
Calculated total energy ... -3.594 eV/atom
ΔE_f (raw) ... -0.3885 eV/atom

The structure in CIF format:
```
data_BaGeTe2
_symmetry_space_group_name_H-M 'R -3 m'
_symmetry_Int_Tables_number 166
_symmetry_space_group_name_Hall '-R 3 2"'
_cell_length_a 5.2754
_cell_length_b 5.2754
_cell_length_c 26.8284
_cell_angle_alpha 90.00
_cell_angle_beta 90.00
_cell_angle_gamma 120.00
loop_
_atom_site_label
_atom_site_fract_x
_atom_site_fract_y
_atom_site_fract_z
_atom_site_occupancy
Ba1 0.0000 0.0000 0.0000 1
Ge1 0.0000 0.0000 0.5000 1
Te1 0.0000 0.0000 0.3988 1
```

20.
Density functional theory data (PBE) for Er2Fe5Co5 after structural relaxation.

Values from the calculation:
Calculated total energy ... -7.387 eV/atom

The structure in CIF format:
```
data_Er2Fe5Co5
_symmetry_space_group_name_H-M 'P m m m'
_symmetry_Int_Tables_number 47
_cell_length_a 3.913
_cell_length_b 4.997
_cell_length_c 8.632
_cell_angle_alpha 90.00
_cell_angle_beta 90.00
_cell_angle_gamma 90.00
loop_
_symmetry_equiv_pos_as_xyz
'x,y,z'
'-x,-y,-z'
'-x,-y,z'
'x,y,-z'
'x,-y,-z'
'-x,y,z'
'-x,y,-z'
'x,-y,z'
loop_
_atom_site_label
_atom_site_fract_x
_atom_site_fract_y
_atom_site_fract_z
_atom_site_occupancy
Er1 0.000 0.000 0.000 1
Er2 0.000 0.500 0.500 1
Fe1 0.000 0.000 0.331 1
Fe2 0.000 0.500 0.166 1
Fe3 0.500 0.000 0.500 1
Co1 0.500 0.250 0.250 1
Co2 0.500 0.500 0.000 1
```